A geometry-optimized B2Pd2Rh3 structure. Source: the Alexandria database, functional PBE.

Results
The value obtained for the formation energy is -0.201 eV per atom. For the density, the calculation gives 9.972 g cm⁻³. The value obtained for the raw total energy is -47.2 eV/f.u. Its space-group type is P-1.

Cell lengths 3.167, 5.079, 6.303 Å; angles 72.01, 75.71, 72.06 degrees
Element x y z (fractional)
B: 0.098 0.184 0.119
B: 0.902 0.816 0.881
Pd: 0.115 0.689 0.583
Pd: 0.885 0.311 0.417
Rh: 0.305 0.095 0.797
Rh: 0.500 0.500 0.000
Rh: 0.695 0.905 0.203

A geometry-optimized BPdRh2 structure. Source: the Alexandria database, functional PBE.

Results
The value obtained for the formation energy is -0.130 eV per atom. For the density, the calculation gives 10.428 g cm⁻³. The value obtained for the raw total energy is -27.1 eV/f.u. Its space-group type is R3m.

Cell lengths 7.532, 7.532, 7.532 Å; angles 21.75, 21.75, 21.75 degrees
Element x y z (fractional)
B: 0.000 0.000 0.000
Pd: 0.834 0.834 0.834
Rh: 0.395 0.395 0.395
Rh: 0.606 0.606 0.606

A geometry-optimized BPdRh3 structure. Source: the Alexandria database, functional PBE.

Results
The value obtained for the formation energy is 0.065 eV per atom. For the density, the calculation gives 10.324 g cm⁻³. The value obtained for the raw total energy is -33.6 eV/f.u. Its space-group type is Pm-3m.

Cell lengths 4.092, 4.092, 4.092 Å; angles 90.00, 90.00, 90.00 degrees
Element x y z (fractional)
B: 0.000 0.000 0.000
Pd: 0.500 0.500 0.500
Rh: 0.000 0.000 0.500
Rh: 0.000 0.500 0.000
Rh: 0.500 0.000 0.000

A geometry-optimized BPd2Rh structure. Source: the Alexandria database, functional PBE.

Results
The value obtained for the formation energy is 0.109 eV per atom. For the density, the calculation gives 9.932 g cm⁻³. The value obtained for the raw total energy is -24.0 eV/f.u. Its space-group type is I-42d.

Cell lengths 5.349, 5.349, 5.349 Å; angles 101.39, 101.39, 127.23 degrees
Element x y z (fractional)
B: 0.000 0.000 0.000
B: 0.750 0.250 0.500
Pd: 0.033 0.625 0.908
Pd: 0.375 0.283 0.408
Pd: 0.717 0.125 0.092
Pd: 0.875 0.967 0.592
Rh: 0.250 0.750 0.500
Rh: 0.500 0.500 0.000

A geometry-optimized B2Pd2Rh3 structure. Source: the Alexandria database, functional PBE.

Results
The value obtained for the formation energy is -0.222 eV per atom. For the density, the calculation gives 10.376 g cm⁻³. The value obtained for the raw total energy is -47.4 eV/f.u. Its space-group type is C2/m.

Cell lengths 4.788, 4.788, 7.102 Å; angles 109.75, 109.75, 34.81 degrees
Element x y z (fractional)
B: 0.150 0.150 0.226
B: 0.850 0.850 0.774
Pd: 0.175 0.175 0.797
Pd: 0.825 0.825 0.203
Rh: 0.388 0.388 0.583
Rh: 0.500 0.500 0.000
Rh: 0.612 0.612 0.417

A geometry-optimized Sc2BPdRh structure. Source: the Alexandria database, functional PBE.

Results
The value obtained for the formation energy is 0.803 eV per atom. For the density, the calculation gives 4.578 g cm⁻³. The value obtained for the raw total energy is -27.9 eV/f.u. Its space-group type is P4/mmm.

Cell lengths 4.794, 4.794, 4.894 Å; angles 90.00, 90.00, 90.00 degrees
Element x y z (fractional)
Sc: 0.000 0.500 0.000
Sc: 0.500 0.000 0.000
B: 0.000 0.000 0.500
Pd: 0.500 0.500 0.500
Rh: 0.500 0.500 0.000

A geometry-optimized Sc2BPd2Rh4 structure. Source: the Alexandria database, functional PBE.

Results
The value obtained for the formation energy is -0.770 eV per atom. For the density, the calculation gives 9.108 g cm⁻³. The value obtained for the raw total energy is -66.1 eV/f.u. Its space-group type is I4/mmm.

Cell lengths 5.720, 5.720, 5.720 Å; angles 120.05, 120.05, 89.91 degrees
Element x y z (fractional)
Sc: 0.250 0.750 0.500
Sc: 0.750 0.250 0.500
B: 0.000 0.000 0.000
Pd: 0.260 0.260 0.000
Pd: 0.740 0.740 0.000
Rh: 0.256 0.256 0.513
Rh: 0.256 0.744 0.000
Rh: 0.744 0.256 0.000
Rh: 0.744 0.744 0.487

A geometry-optimized SmBPdRh2 structure. Source: the Alexandria database, functional PBE.

Results
The value obtained for the formation energy is -0.758 eV per atom. For the density, the calculation gives 10.141 g cm⁻³. The value obtained for the raw total energy is -35.1 eV/f.u. Its space-group type is P4/mmm.

Cell lengths 4.257, 4.257, 4.278 Å; angles 90.00, 90.00, 90.00 degrees
Element x y z (fractional)
Sm: 0.000 0.000 0.000
B: 0.500 0.500 0.500
Pd: 0.500 0.500 0.000
Rh: 0.000 0.500 0.500
Rh: 0.500 0.000 0.500

A geometry-optimized Sm3BPd2Rh3 structure. Source: the Alexandria database, functional PBE.

Results
The value obtained for the formation energy is -0.694 eV per atom. For the density, the calculation gives 9.868 g cm⁻³. The value obtained for the raw total energy is -59.5 eV/f.u. Its space-group type is P-62m.

Cell lengths 7.394, 7.394, 3.495 Å; angles 90.00, 90.00, 120.00 degrees
Element x y z (fractional)
Sm: 0.000 0.623 0.000
Sm: 0.377 0.377 0.000
Sm: 0.623 0.000 0.000
B: 0.000 0.000 0.000
Pd: 0.333 0.667 0.500
Pd: 0.667 0.333 0.500
Rh: 0.000 0.214 0.500
Rh: 0.214 0.000 0.500
Rh: 0.786 0.786 0.500

A geometry-optimized SnBPdRh2 structure. Source: the Alexandria database, functional PBE.

Results
The value obtained for the formation energy is -0.331 eV per atom. For the density, the calculation gives 10.024 g cm⁻³. The value obtained for the raw total energy is -32.2 eV/f.u. Its space-group type is P4/mmm.

Cell lengths 4.157, 4.157, 4.236 Å; angles 90.00, 90.00, 90.00 degrees
Element x y z (fractional)
Sn: 0.000 0.000 0.000
B: 0.500 0.500 0.500
Pd: 0.500 0.500 0.000
Rh: 0.000 0.500 0.500
Rh: 0.500 0.000 0.500

A geometry-optimized SnBPd2Rh structure. Source: the Alexandria database, functional PBE.

Results
The value obtained for the formation energy is -0.271 eV per atom. For the density, the calculation gives 9.851 g cm⁻³. The value obtained for the raw total energy is -29.8 eV/f.u. Its space-group type is P4/mmm.

Cell lengths 4.250, 4.250, 4.156 Å; angles 90.00, 90.00, 90.00 degrees
Element x y z (fractional)
Sn: 0.000 0.000 0.000
B: 0.500 0.500 0.500
Pd: 0.000 0.500 0.500
Pd: 0.500 0.000 0.500
Rh: 0.500 0.500 0.000

A geometry-optimized Sn2BPd2Rh4 structure. Source: the Alexandria database, functional PBE.

Results
The value obtained for the formation energy is -0.422 eV per atom. For the density, the calculation gives 10.709 g cm⁻³. The value obtained for the raw total energy is -58.3 eV/f.u. Its space-group type is I4/mmm.

Cell lengths 5.746, 5.746, 5.746 Å; angles 119.41, 119.41, 91.03 degrees
Element x y z (fractional)
Sn: 0.250 0.750 0.500
Sn: 0.750 0.250 0.500
B: 0.000 0.000 0.000
Pd: 0.261 0.261 0.000
Pd: 0.739 0.739 0.000
Rh: 0.252 0.252 0.504
Rh: 0.252 0.748 0.000
Rh: 0.748 0.252 0.000
Rh: 0.748 0.748 0.496

A geometry-optimized TbBPdRh2 structure. Source: the Alexandria database, functional PBE.

Results
The value obtained for the formation energy is -0.804 eV per atom. For the density, the calculation gives 10.533 g cm⁻³. The value obtained for the raw total energy is -35.2 eV/f.u. Its space-group type is P4/mmm.

Cell lengths 4.230, 4.230, 4.247 Å; angles 90.00, 90.00, 90.00 degrees
Element x y z (fractional)
Tb: 0.000 0.000 0.000
B: 0.500 0.500 0.500
Pd: 0.500 0.500 0.000
Rh: 0.000 0.500 0.500
Rh: 0.500 0.000 0.500

A geometry-optimized Th2BPd2Rh4 structure. Source: the Alexandria database, functional PBE.

Results
The value obtained for the formation energy is -0.930 eV per atom. For the density, the calculation gives 12.108 g cm⁻³. The value obtained for the raw total energy is -69.7 eV/f.u. Its space-group type is I4/mmm.

Cell lengths 5.950, 5.950, 5.950 Å; angles 119.17, 119.17, 91.44 degrees
Element x y z (fractional)
Th: 0.250 0.750 0.500
Th: 0.750 0.250 0.500
B: 0.000 0.000 0.000
Pd: 0.263 0.263 0.000
Pd: 0.737 0.737 0.000
Rh: 0.249 0.249 0.499
Rh: 0.249 0.751 0.000
Rh: 0.751 0.249 0.000
Rh: 0.751 0.751 0.501

A geometry-optimized TlBPdRh2 structure. Source: the Alexandria database, functional PBE.

Results
The value obtained for the formation energy is -0.208 eV per atom. For the density, the calculation gives 11.775 g cm⁻³. The value obtained for the raw total energy is -30.0 eV/f.u. Its space-group type is P4/mmm.

Cell lengths 4.189, 4.189, 4.239 Å; angles 90.00, 90.00, 90.00 degrees
Element x y z (fractional)
Tl: 0.000 0.000 0.000
B: 0.500 0.500 0.500
Pd: 0.500 0.500 0.000
Rh: 0.000 0.500 0.500
Rh: 0.500 0.000 0.500

A geometry-optimized Tm2BPd2Rh4 structure. Source: the Alexandria database, functional PBE.

Results
The value obtained for the formation energy is -0.812 eV per atom. For the density, the calculation gives 11.604 g cm⁻³. The value obtained for the raw total energy is -62.7 eV/f.u. Its space-group type is I4/mmm.

Cell lengths 5.822, 5.822, 5.822 Å; angles 120.14, 120.14, 89.76 degrees
Element x y z (fractional)
Tm: 0.250 0.750 0.500
Tm: 0.750 0.250 0.500
B: 0.000 0.000 0.000
Pd: 0.260 0.260 0.000
Pd: 0.740 0.740 0.000
Rh: 0.255 0.255 0.511
Rh: 0.255 0.745 0.000
Rh: 0.745 0.255 0.000
Rh: 0.745 0.745 0.489

A geometry-optimized Tm2B2PdRh5 structure. Source: the Alexandria database, functional PBE.

Results
The value obtained for the formation energy is -0.696 eV per atom. For the density, the calculation gives 11.270 g cm⁻³. The value obtained for the raw total energy is -71.2 eV/f.u. Its space-group type is P4/mbm.

Cell lengths 9.471, 9.471, 3.221 Å; angles 90.00, 90.00, 90.00 degrees
Element x y z (fractional)
Tm: 0.177 0.323 0.000
Tm: 0.323 0.823 0.000
Tm: 0.677 0.177 0.000
Tm: 0.823 0.677 0.000
B: 0.124 0.624 0.000
B: 0.376 0.124 0.000
B: 0.624 0.876 0.000
B: 0.876 0.376 0.000
Pd: 0.000 0.000 0.000
Pd: 0.500 0.500 0.000
Rh: 0.000 0.500 0.500
Rh: 0.071 0.775 0.500
Rh: 0.225 0.071 0.500
Rh: 0.275 0.571 0.500
Rh: 0.429 0.275 0.500
Rh: 0.500 0.000 0.500
Rh: 0.571 0.725 0.500
Rh: 0.725 0.429 0.500
Rh: 0.775 0.929 0.500
Rh: 0.929 0.225 0.500

A geometry-optimized TmBPdRh2 structure. Source: the Alexandria database, functional PBE.

Results
The value obtained for the formation energy is -0.835 eV per atom. For the density, the calculation gives 10.969 g cm⁻³. The value obtained for the raw total energy is -35.2 eV/f.u. Its space-group type is P4/mmm.

Cell lengths 4.202, 4.202, 4.218 Å; angles 90.00, 90.00, 90.00 degrees
Element x y z (fractional)
Tm: 0.000 0.000 0.000
B: 0.500 0.500 0.500
Pd: 0.500 0.500 0.000
Rh: 0.000 0.500 0.500
Rh: 0.500 0.000 0.500

A geometry-optimized Y2B2PdRh5 structure. Source: the Alexandria database, functional PBE.

Results
The value obtained for the formation energy is -0.641 eV per atom. For the density, the calculation gives 9.226 g cm⁻³. The value obtained for the raw total energy is -74.6 eV/f.u. Its space-group type is P4/mbm.

Cell lengths 9.552, 9.552, 3.236 Å; angles 90.00, 90.00, 90.00 degrees
Element x y z (fractional)
Y: 0.177 0.323 0.000
Y: 0.323 0.823 0.000
Y: 0.677 0.177 0.000
Y: 0.823 0.677 0.000
B: 0.123 0.623 0.000
B: 0.377 0.123 0.000
B: 0.623 0.877 0.000
B: 0.877 0.377 0.000
Pd: 0.000 0.000 0.000
Pd: 0.500 0.500 0.000
Rh: 0.000 0.500 0.500
Rh: 0.070 0.774 0.500
Rh: 0.226 0.070 0.500
Rh: 0.274 0.570 0.500
Rh: 0.430 0.274 0.500
Rh: 0.500 0.000 0.500
Rh: 0.570 0.726 0.500
Rh: 0.726 0.430 0.500
Rh: 0.774 0.930 0.500
Rh: 0.930 0.226 0.500

A geometry-optimized ZnBPdRh2 structure. Source: the Alexandria database, functional PBE.

Results
The value obtained for the formation energy is -0.231 eV per atom. For the density, the calculation gives 9.362 g cm⁻³. The value obtained for the raw total energy is -29.0 eV/f.u. Its space-group type is P4/mmm.

Cell lengths 4.089, 4.089, 4.121 Å; angles 90.00, 90.00, 90.00 degrees
Element x y z (fractional)
Zn: 0.000 0.000 0.000
B: 0.500 0.500 0.500
Pd: 0.500 0.500 0.000
Rh: 0.000 0.500 0.500
Rh: 0.500 0.000 0.500

A geometry-optimized ZnBPd2Rh structure. Source: the Alexandria database, functional PBE.

Results
The value obtained for the formation energy is -0.297 eV per atom. For the density, the calculation gives 9.295 g cm⁻³. The value obtained for the raw total energy is -27.2 eV/f.u. Its space-group type is P4/mmm.

Cell lengths 4.140, 4.140, 4.085 Å; angles 90.00, 90.00, 90.00 degrees
Element x y z (fractional)
Zn: 0.000 0.000 0.000
B: 0.500 0.500 0.500
Pd: 0.000 0.500 0.500
Pd: 0.500 0.000 0.500
Rh: 0.500 0.500 0.000

A geometry-optimized Zr2BPd2Rh4 structure. Source: the Alexandria database, functional PBE.

Results
The value obtained for the formation energy is -0.796 eV per atom. For the density, the calculation gives 10.079 g cm⁻³. The value obtained for the raw total energy is -70.7 eV/f.u. Its space-group type is I4/mmm.

Cell lengths 5.737, 5.737, 5.737 Å; angles 119.39, 119.39, 91.05 degrees
Element x y z (fractional)
Zr: 0.250 0.750 0.500
Zr: 0.750 0.250 0.500
B: 0.000 0.000 0.000
Pd: 0.261 0.261 0.000
Pd: 0.739 0.739 0.000
Rh: 0.254 0.254 0.507
Rh: 0.254 0.746 0.000
Rh: 0.746 0.254 0.000
Rh: 0.746 0.746 0.493

A geometry-optimized BPd3Ru structure. Source: the Alexandria database, functional PBE.

Results
The value obtained for the formation energy is 0.369 eV per atom. For the density, the calculation gives 10.075 g cm⁻³. The value obtained for the raw total energy is -29.7 eV/f.u. Its space-group type is Pm-3m.

Cell lengths 4.142, 4.142, 4.142 Å; angles 90.00, 90.00, 90.00 degrees
Element x y z (fractional)
B: 0.000 0.000 0.000
Pd: 0.000 0.000 0.500
Pd: 0.000 0.500 0.000
Pd: 0.500 0.000 0.000
Ru: 0.500 0.500 0.500

A geometry-optimized B2PdRu2 structure. Source: the Alexandria database, functional PBE.

Results
The value obtained for the formation energy is 0.197 eV per atom. For the density, the calculation gives 9.029 g cm⁻³. The value obtained for the raw total energy is -36.1 eV/f.u. Its space-group type is I4/mmm.

Cell lengths 4.933, 4.933, 4.933 Å; angles 134.20, 134.20, 66.78 degrees
Element x y z (fractional)
B: 0.250 0.750 0.500
B: 0.750 0.250 0.500
Pd: 0.000 0.000 0.000
Ru: 0.350 0.350 0.000
Ru: 0.650 0.650 0.000

A geometry-optimized BPd3Ru structure. Source: the Alexandria database, functional PBE.

Results
The value obtained for the formation energy is 2.038 eV per atom. For the density, the calculation gives 6.554 g cm⁻³. The value obtained for the raw total energy is -21.3 eV/f.u. Its space-group type is Pm-3m.

Cell lengths 4.780, 4.780, 4.780 Å; angles 90.00, 90.00, 90.00 degrees
Element x y z (fractional)
B: 0.000 0.000 0.000
Pd: 0.000 0.500 0.500
Pd: 0.500 0.000 0.500
Pd: 0.500 0.500 0.000
Ru: 0.500 0.500 0.500